Here is a relaxed structure of ZrTl2Tc2 from Alexandria. Energies are from PBE.

ΔE_f   0.6577 eV per atom
Magnetization   0.00 μB/cell

Lattice parameters (Å, degrees): 4.600 4.600 10.356 90.00 90.00 90.00
Fractional positions:
Zr (0.000, 0.000, 0.000)
Zr (0.500, 0.500, 0.500)
Tl (0.000, 0.500, 0.250)
Tl (0.000, 0.500, 0.750)
Tl (0.500, 0.000, 0.250)
Tl (0.500, 0.000, 0.750)
Tc (0.000, 0.000, 0.396)
Tc (0.000, 0.000, 0.604)
Tc (0.500, 0.500, 0.104)
Tc (0.500, 0.500, 0.896)

---

Here is a relaxed structure of ZrTlTc3 from Alexandria. Energies are from PBE.

ΔE_f   2.1825 eV per atom
Magnetization   2.69 μB/cell
Relative energy among the computed polymorphs   0.404 eV/atom

Lattice parameters (Å, degrees): 4.885 4.885 4.885 90.00 90.00 90.00
Fractional positions:
Zr (0.000, 0.000, 0.000)
Tl (0.500, 0.500, 0.500)
Tc (0.000, 0.500, 0.500)
Tc (0.500, 0.000, 0.500)
Tc (0.500, 0.500, 0.000)

---

Here is a relaxed structure of ZrTlTc2 from Alexandria. Energies are from PBE.

ΔE_f   0.2007 eV per atom
Magnetization   0.51 μB/cell
Relative energy among the computed polymorphs   0.137 eV/atom

Lattice parameters (Å, degrees): 4.523 4.523 3.496 90.00 90.00 90.00
Fractional positions:
Zr (0.000, 0.000, 0.000)
Tl (0.500, 0.500, 0.000)
Tc (0.000, 0.500, 0.500)
Tc (0.500, 0.000, 0.500)

---

> The highest ΔE_f belongs to which entry?

ZrTlTc3